Record 1
Compound: La2TbEr3Tm6
Source: the Alexandria database
Functional: PBE
Structure: relaxed

Cell lengths 6.146, 10.638, 11.697 Å; angles 90.00, 100.06, 90.00 degrees
Space group C2/m (No. 12)
Inequivalent atoms, fractional coordinates:
La1 0.000 0.167 0.000 [4 per cell]
Tb1 0.000 0.500 0.000 [2 per cell]
Er1 0.000 0.000 0.500 [2 per cell]
Er2 0.000 0.333 0.500 [4 per cell]
Tm1 0.246 0.500 0.745 [4 per cell]
Tm2 0.248 0.166 0.745 [8 per cell]

Output
E (eV/cell): -109.32
E_form (eV/f.u.): 0.34

=====

Record 2
Compound: Dy6AsP3S2
Source: the Alexandria database
Functional: PBE
Structure: relaxed

Cell lengths 17.437, 3.999, 7.994 Å; angles 90.00, 103.43, 90.00 degrees
Space group C2/m (No. 12)
Inequivalent atoms, fractional coordinates:
Dy1 0.001 0.000 0.245 [4 per cell]
Dy2 0.164 0.500 0.088 [4 per cell]
Dy3 0.169 0.500 0.579 [4 per cell]
As1 0.000 0.500 0.500 [2 per cell]
P1 0.000 0.500 0.000 [2 per cell]
P2 0.167 0.000 0.332 [4 per cell]
S1 0.168 0.000 0.836 [4 per cell]

Output
E (eV/cell): -156.35

=====

Record 3
Compound: Te2AsPtI
Source: the Alexandria database
Functional: PBE
Structure: relaxed

Cell lengths 5.453, 5.453, 5.336 Å; angles 90.00, 90.00, 90.00 degrees
Space group P4/mmm (No. 123)
Inequivalent atoms, fractional coordinates:
Te1 0.000 0.500 0.000 [2 per cell]
As1 0.000 0.000 0.000 [1 per cell]
Pt1 0.500 0.500 0.500 [1 per cell]
I1 0.000 0.000 0.500 [1 per cell]

Output
E (eV/cell): -13.33

=====

Record 4
Compound: USeBr2
Source: the Alexandria database
Functional: PBE
Structure: relaxed

Cell lengths 4.329, 3.752, 8.472 Å; angles 90.00, 104.66, 90.00 degrees
Space group Pm (No. 6)
Inequivalent atoms, fractional coordinates:
U1 0.000 0.000 0.000 [1 per cell]
Se1 0.527 0.500 0.054 [1 per cell]
Br1 0.162 0.000 0.327 [1 per cell]
Br2 0.864 0.500 0.725 [1 per cell]

Output
E (eV/cell): -22.57

=====

Record 5
Compound: RbNaAs2Se
Source: the Alexandria database
Functional: PBE
Structure: relaxed

Cell lengths 5.244, 5.244, 5.438 Å; angles 90.00, 90.00, 90.00 degrees
Space group P4/mmm (No. 123)
Inequivalent atoms, fractional coordinates:
Rb1 0.000 0.000 0.000 [1 per cell]
Na1 0.500 0.500 0.500 [1 per cell]
As1 0.000 0.500 0.500 [2 per cell]
Se1 0.500 0.500 0.000 [1 per cell]

Output
E (eV/cell): -13.36

=====

Record 6
Compound: TbTc2Ge2P
Source: the Alexandria database
Functional: PBE
Structure: relaxed

Cell lengths 4.461, 4.461, 5.512 Å; angles 90.00, 90.00, 90.00 degrees
Space group P4/mmm (No. 123)
Inequivalent atoms, fractional coordinates:
Tb1 0.000 0.000 0.000 [1 per cell]
Tc1 0.000 0.500 0.500 [2 per cell]
Ge1 0.500 0.500 0.223 [2 per cell]
P1 0.000 0.000 0.500 [1 per cell]

Output
E (eV/cell): -42.10
E_form (eV/f.u.): -2.09

=====

Number 1: total magnetization 0.00 μB per atom. Number 2: total magnetization 0.00 μB per atom. Number 3: total magnetization 0.06 μB per atom. Number 4: total magnetization 0.50 μB per atom. Number 5: total magnetization 0.00 μB per atom. Number 6: total magnetization 0.00 μB per atom.